[1]
This record from Alexandria describes an optimized crystal structure of Pm3TiAg3Se8. The functional is PBE.

a b c (Å): 8.321 8.321 8.167
angles (deg): 120.82 90.00 120.00
Each line ends with the local moment (μB).
Atoms (fractional coordinates):
Pm 0.500 0.000 0.500  0.00
Pm 0.500 0.500 0.500  0.00
Pm 0.000 0.500 0.500  0.00
Ti 0.000 0.000 0.500  -0.08
Ag 0.000 0.000 0.000  0.00
Ag 0.000 0.500 0.000  0.00
Ag 0.500 0.500 0.000  0.00
Se 0.248 0.495 0.244  0.00
Se 0.752 0.505 0.756  0.00
Se 0.773 0.546 0.270  0.00
Se 0.227 0.454 0.730  0.00
Se 0.773 0.995 0.270  0.00
Se 0.227 0.005 0.730  0.00
Se 0.222 0.995 0.270  0.00
Se 0.778 0.005 0.730  0.00

Properties
**Raw formation energy**: -1.106 eV/atom
**Space-group type**: C2/m (12)
**Total moment**: 0.07 μB/f.u.


[2]
This record from Alexandria describes an optimized crystal structure of Cd7Cu6. The functional is PBE.

a b c (Å): 9.565 9.565 9.565
angles (deg): 33.82 33.82 33.82
Atoms (fractional coordinates):
Cu 0.049 0.049 0.049
Cu 0.951 0.951 0.951
Cu 0.148 0.148 0.148
Cu 0.852 0.852 0.852
Cu 0.334 0.334 0.334
Cu 0.666 0.666 0.666
Cd 0.584 0.584 0.077
Cd 0.077 0.584 0.584
Cd 0.584 0.077 0.584
Cd 0.416 0.416 0.923
Cd 0.416 0.923 0.416
Cd 0.923 0.416 0.416
Cd 0.500 0.500 0.500

Properties
**Calculated formation energy**: 4.2 eV/f.u.
**DOS at the Fermi energy**: 0.318 states/eV per atom
**Space-group type**: R-3m (166)
**Total moment**: 0.00 μB/f.u.


[3]
This record from Alexandria describes an optimized crystal structure of Ho3VPt12. The functional is PBE.

a b c (Å): 4.058 4.058 16.273
angles (deg): 90.00 90.00 90.00
Each line ends with the local moment (μB).
Atoms (fractional coordinates):
Ho 0.000 0.000 0.247  -0.01
Ho 0.000 0.000 0.500  0.00
Ho 0.000 0.000 0.753  -0.01
V 0.000 0.000 0.000  0.50
Pt 0.500 0.500 0.000  -0.05
Pt 0.500 0.500 0.242  -0.02
Pt 0.500 0.500 0.500  -0.01
Pt 0.500 0.500 0.758  -0.02
Pt 0.500 0.000 0.113  -0.02
Pt 0.500 0.000 0.372  -0.01
Pt 0.500 0.000 0.628  -0.01
Pt 0.500 0.000 0.887  -0.02
Pt 0.000 0.500 0.113  -0.02
Pt 0.000 0.500 0.372  -0.01
Pt 0.000 0.500 0.628  -0.01
Pt 0.000 0.500 0.887  -0.02

Properties
**Calculated formation energy**: -14.4 eV/f.u.
**DOS at the Fermi energy**: 0.760 states/eV per atom
**Space-group type**: P4/mmm (123)
**Total moment**: 0.26 μB/f.u.